Record 1
Material: SrHg3Os
Method: DFT, GGA-PBE
State: relaxed

Structure (CIF):
```
data_SrHg3Os
_chemical_formula_sum 'Sr1 Hg3 Os1'
_space_group_name_H-M_alt 'P 1'
_space_group_IT_number 1
_cell_length_a 6.1124
_cell_length_b 6.1124
_cell_length_c 6.1124
_cell_angle_alpha 90.00
_cell_angle_beta 90.00
_cell_angle_gamma 90.00
loop_
_space_group_symop_operation_xyz
'x,y,z'
loop_
_atom_site_label
_atom_site_fract_x
_atom_site_fract_y
_atom_site_fract_z
Sr1 0.0000 0.0000 0.0000
Hg1 0.0000 0.0000 0.5000
Hg2 0.0000 0.5000 0.0000
Hg3 0.5000 0.0000 0.0000
Os1 0.5000 0.5000 0.5000
```

ΔE_f: 1.574 eV/atom
SG: Pm-3m, No. 221

---

Record 2
Material: Ac2PmInPd6
Method: DFT, GGA-PBE
State: relaxed

Structure (CIF):
```
data_Ac2PmInPd6
_chemical_formula_sum 'Ac2 Pm1 In1 Pd6'
_space_group_name_H-M_alt 'P 1'
_space_group_IT_number 1
_cell_length_a 7.2358
_cell_length_b 7.2358
_cell_length_c 7.2358
_cell_angle_alpha 60.00
_cell_angle_beta 60.00
_cell_angle_gamma 60.00
loop_
_space_group_symop_operation_xyz
'x,y,z'
loop_
_atom_site_label
_atom_site_fract_x
_atom_site_fract_y
_atom_site_fract_z
Ac1 0.2500 0.2500 0.2500
Ac2 0.7500 0.7500 0.7500
Pm1 0.0000 0.0000 0.0000
In1 0.5000 0.5000 0.5000
Pd1 0.2539 0.2539 0.7461
Pd2 0.2539 0.7461 0.2539
Pd3 0.2539 0.7461 0.7461
Pd4 0.7461 0.2539 0.2539
Pd5 0.7461 0.2539 0.7461
Pd6 0.7461 0.7461 0.2539
```

ΔE_f: -0.178 eV/atom
SG: Fm-3m, No. 225

---

Record 3
Material: Ac3Tb8Y
Method: DFT, GGA-PBE
State: relaxed

Structure (CIF):
```
data_Ac3Tb8Y
_chemical_formula_sum 'Ac3 Tb8 Y1'
_space_group_name_H-M_alt 'P 1'
_space_group_IT_number 1
_cell_length_a 8.9330
_cell_length_b 8.9330
_cell_length_c 8.9330
_cell_angle_alpha 137.03
_cell_angle_beta 99.15
_cell_angle_gamma 96.28
loop_
_space_group_symop_operation_xyz
'x,y,z'
loop_
_atom_site_label
_atom_site_fract_x
_atom_site_fract_y
_atom_site_fract_z
Ac1 0.0000 0.0000 0.0000
Ac2 0.2557 0.5000 0.7557
Ac3 0.7443 0.5000 0.2443
Tb1 0.0766 0.8246 0.2519
Tb2 0.2610 0.0150 0.7541
Tb3 0.2610 0.5069 0.2459
Tb4 0.4273 0.1754 0.2519
Tb5 0.5727 0.8246 0.7481
Tb6 0.7390 0.4931 0.7541
Tb7 0.7390 0.9850 0.2459
Tb8 0.9234 0.1754 0.7481
Y1 0.5000 0.0000 0.5000
```

ΔE_f: 0.249 eV/atom
SG: Immm, No. 71

---

Record 4
Material: BaIn2Ru
Method: DFT, GGA-PBE
State: relaxed

Structure (CIF):
```
data_BaIn2Ru
_chemical_formula_sum 'Ba1 In2 Ru1'
_space_group_name_H-M_alt 'P 1'
_space_group_IT_number 1
_cell_length_a 6.0434
_cell_length_b 6.0434
_cell_length_c 3.3066
_cell_angle_alpha 95.46
_cell_angle_beta 95.46
_cell_angle_gamma 119.44
loop_
_space_group_symop_operation_xyz
'x,y,z'
loop_
_atom_site_label
_atom_site_fract_x
_atom_site_fract_y
_atom_site_fract_z
Ba1 0.0000 0.0000 0.0000
In1 0.0000 0.5000 0.5000
In2 0.5000 0.0000 0.5000
Ru1 0.5000 0.5000 0.0000
```

ΔE_f: 0.512 eV/atom
SG: C2/m, No. 12

---

Record 5
Material: TcSbP2
Method: DFT, GGA-PBE
State: relaxed

Structure (CIF):
```
data_TcSbP2
_chemical_formula_sum 'Tc1 Sb1 P2'
_space_group_name_H-M_alt 'P 1'
_space_group_IT_number 1
_cell_length_a 2.9955
_cell_length_b 2.9955
_cell_length_c 8.8835
_cell_angle_alpha 90.00
_cell_angle_beta 90.00
_cell_angle_gamma 114.08
loop_
_space_group_symop_operation_xyz
'x,y,z'
loop_
_atom_site_label
_atom_site_fract_x
_atom_site_fract_y
_atom_site_fract_z
Tc1 0.0000 0.0000 0.0000
Sb1 0.0000 0.0000 0.5000
P1 0.5000 0.5000 0.1988
P2 0.5000 0.5000 0.8012
```

Raw total energy: -23.85 eV/f.u.
SG: Cmmm, No. 65

---

Record 6
Material: Cd3GeBr8
Method: DFT, GGA-PBE
State: relaxed

Structure (CIF):
```
data_Cd3GeBr8
_chemical_formula_sum 'Cd3 Ge1 Br8'
_space_group_name_H-M_alt 'P 1'
_space_group_IT_number 1
_cell_length_a 8.1337
_cell_length_b 8.1337
_cell_length_c 8.3173
_cell_angle_alpha 119.76
_cell_angle_beta 119.76
_cell_angle_gamma 60.02
loop_
_space_group_symop_operation_xyz
'x,y,z'
loop_
_atom_site_label
_atom_site_fract_x
_atom_site_fract_y
_atom_site_fract_z
Cd1 0.0000 0.0000 0.0000
Cd2 0.0000 0.5000 0.0000
Cd3 0.5000 0.0000 0.0000
Ge1 0.5000 0.5000 0.0000
Br1 0.2428 0.7466 0.2323
Br2 0.2445 0.2445 0.2297
Br3 0.2534 0.2534 0.7676
Br4 0.2534 0.7572 0.7677
Br5 0.7466 0.2428 0.2323
Br6 0.7466 0.7466 0.2324
Br7 0.7555 0.7555 0.7703
Br8 0.7572 0.2534 0.7677
```

Raw total energy: -30.10 eV/f.u.
SG: C2/m, No. 12